Below is a relaxed Ba6Ag2PdI3 crystal, with properties calculated at the GGA-PBE level.

abc: 8.2310 8.2310 9.3181
angles: 98.47 98.47 119.97
Positions (direct):
1 Ba 0.0698 0.3879 0.2095
2 Ba 0.2477 0.2477 0.7895
3 Ba 0.3879 0.0698 0.2095
4 Ba 0.6121 0.9302 0.7905
5 Ba 0.7523 0.7523 0.2105
6 Ba 0.9302 0.6121 0.7905
7 Ag 0.3337 0.6663 0.0000
8 Ag 0.6663 0.3337 0.0000
9 Pd 0.0000 0.0000 0.0000
10 I 0.1684 0.8316 0.5000
11 I 0.5000 0.5000 0.5000
12 I 0.8316 0.1684 0.5000

Properties
- E: -0.2293 Ry/atom
- Energy relative to the elements, uncorrected: -83 kJ per mole of atoms